1.
CuTeRu4 (GGA-PBE, optimized geometry); mass density = 10.016 g/cm³; crystal system = cubic; electronic total energy = -6.681 eV/atom; symmetry = No. 216
1.0
0.0000 3.6681 3.6681
3.6681 0.0000 3.6681
3.6681 3.6681 0.0000
Te Ru Cu
1 4 1
direct
0.7500 0.7500 0.7500
0.8758 0.3747 0.3747
0.3747 0.3747 0.8758
0.3747 0.3747 0.3747
0.3747 0.8758 0.3747
0.0000 0.0000 0.0000

***

2.
CuTe4Ru (GGA-PBE, optimized geometry); mass density = 6.656 g/cm³; crystal system = cubic; electronic total energy = -3.078 eV/atom; symmetry = No. 216
1.0
-0.4232 -5.7421 -2.2960
2.2766 -4.7941 3.2027
-3.8535 -4.1009 2.5991
Cu Ru Te
1 1 4
direct
0.7500 0.7500 0.7500
0.0000 0.0000 0.0000
0.8749 0.3750 0.3750
0.3750 0.8749 0.3750
0.3750 0.3750 0.8749
0.3750 0.3750 0.3750

***

3.
Cu2TeRu (GGA-PBE, optimized geometry); mass density = 8.793 g/cm³; crystal system = trigonal; electronic total energy = -4.718 eV/atom; symmetry = No. 160
1.0
7.5735 -0.1094 -0.0649
6.9216 3.0760 -0.0649
6.9216 1.4166 2.7311
Ru Cu Te
1 2 1
direct
0.5033 0.5033 0.5033
0.2520 0.2520 0.2520
0.9911 0.9911 0.9911
0.7537 0.7537 0.7537

***

4.
CuTeRu2 (GGA-PBE, optimized geometry); mass density = 10.435 g/cm³; crystal system = orthorhombic; electronic total energy = -6.067 eV/atom; symmetry = No. 25
1.0
4.4545 0.0000 0.0000
0.0000 3.0870 0.0004
0.0000 -0.0002 4.5512
Te Ru Cu
1 2 1
direct
0.0000 0.3751 0.5375
0.0000 0.8751 0.0275
0.5000 0.3749 0.2089
0.5000 0.8749 0.7261

***

5.
CuTe2Ru (GGA-PBE, optimized geometry); mass density = 8.042 g/cm³; crystal system = trigonal; electronic total energy = -4.301 eV/atom; offset from the most stable computed form = 0.531 eV/atom; symmetry = No. 166
1.0
1.9541 0.0000 8.7375
-0.9771 1.6923 8.7375
-0.9771 -1.6923 8.7375
Te Cu Ru
2 1 1
direct
0.5963 0.5963 0.5963
0.4037 0.4037 0.4037
0.0000 0.0000 0.0000
0.5000 0.5000 0.5000

***

6.
Cu2TeRu (GGA-PBE, optimized geometry); mass density = 9.502 g/cm³; crystal system = tetragonal; electronic total energy = -4.953 eV/atom; symmetry = No. 99
1.0
-2.9326 1.2389 -0.8756
0.5829 -0.8393 -3.1396
-2.4193 -5.0836 0.9098
Cu Te Ru
2 1 1
direct
0.5000 0.5000 0.2252
0.0000 0.0000 0.0432
0.5000 0.5000 0.7337
0.0000 0.0000 0.4978

***

7.
CuTeRu2 (GGA-PBE, optimized geometry); mass density = 10.457 g/cm³; crystal system = monoclinic; electronic total energy = -6.109 eV/atom; symmetry = No. 12
1.0
4.4429 -0.0002 0.0057
3.3700 2.8953 0.0057
0.9865 0.3655 4.8562
Ru Cu Te
2 1 1
direct
0.4995 0.4995 0.5114
0.0005 0.0005 0.9886
0.7500 0.7500 0.7500
0.2500 0.2500 0.2500

***

8.
CuTe2Ru (GGA-PBE, optimized geometry); mass density = 8.372 g/cm³; crystal system = monoclinic; electronic total energy = -4.781 eV/atom; offset from the most stable computed form = 0.052 eV/atom; symmetry = No. 12
1.0
-1.5659 -3.4066 -0.7332
1.0005 -1.9401 -3.1353
4.6584 -4.7161 2.0977
Ru Te Cu
1 2 1
direct
0.7500 0.7500 0.7500
0.4947 0.4947 0.5147
0.0053 0.0053 0.9853
0.2500 0.2500 0.2500

***

9.
Cu2TeRu (GGA-PBE, optimized geometry); mass density = 9.797 g/cm³; crystal system = tetragonal; electronic total energy = -4.918 eV/atom; symmetry = No. 119
1.0
4.8009 -0.1687 0.1549
3.3294 3.4630 0.1549
1.5051 0.6099 3.5658
Cu Ru Te
2 1 1
direct
0.9999 0.9999 0.0000
0.7500 0.7500 0.7500
0.5001 0.5001 0.4999
0.2500 0.2500 0.2500

***

10.
Cu2TeRu (GGA-PBE, optimized geometry); mass density = 8.774 g/cm³; crystal system = orthorhombic; electronic total energy = -4.538 eV/atom; symmetry = No. 35
1.0
-1.8608 2.2172 0.4335
-0.3474 -2.3093 1.7643
5.5477 3.5371 5.7221
Ru Cu Te
1 2 1
direct
0.0000 0.0000 0.4834
0.0000 0.0000 0.0352
0.5000 0.5000 0.2490
0.5000 0.5000 0.7324

***

11.
Cu2TeRu (GGA-PBE, optimized geometry); mass density = 9.676 g/cm³; crystal system = tetragonal; electronic total energy = -4.839 eV/atom; symmetry = No. 139
1.0
-4.2261 2.7942 0.0715
-3.0243 -0.3495 -4.0503
2.3158 -3.2323 3.1405
Cu Te Ru
2 1 1
direct
0.0000 0.0000 0.0000
0.5000 0.5000 0.0000
0.7500 0.2500 0.5000
0.2500 0.7500 0.5000

***

12.
CuTe2Ru (GGA-PBE, optimized geometry); mass density = 8.050 g/cm³; crystal system = orthorhombic; electronic total energy = -4.833 eV/atom; offset from the most stable computed form = 0.000 eV/atom; symmetry = No. 25
1.0
3.2263 0.0000 0.0000
0.0000 3.6029 0.0000
0.0000 0.0000 7.4497
Te Ru Cu
2 1 1
direct
0.0000 0.0000 0.8946
0.5000 0.5000 0.3561
0.5000 0.5000 0.7198
0.0000 0.0000 0.5295

***

13.
CuTe2Ru (GGA-PBE, optimized geometry); mass density = 9.090 g/cm³; crystal system = tetragonal; electronic total energy = -4.608 eV/atom; offset from the most stable computed form = 0.225 eV/atom; symmetry = No. 123
1.0
-2.1317 1.6358 -1.8862
-2.3751 -2.0931 0.8692
-1.6678 4.1809 5.5108
Te Cu Ru
2 1 1
direct
0.0000 0.0000 0.5142
0.0000 0.0000 0.9858
0.5000 0.5000 0.2500
0.5000 0.5000 0.7500

***

14.
CuTeRu2 (GGA-PBE, optimized geometry); mass density = 10.391 g/cm³; crystal system = cubic; electronic total energy = -5.967 eV/atom; symmetry = No. 216
1.0
-3.0976 3.1046 -0.8266
-4.2883 -1.1739 -0.3869
-2.9207 1.1392 3.1762
Ru Te Cu
2 1 1
direct
0.2500 0.2500 0.2500
0.0000 0.0000 0.0000
0.7500 0.7500 0.7500
0.5000 0.5000 0.5000

***

15.
CuTeRu2 (GGA-PBE, optimized geometry); mass density = 10.232 g/cm³; crystal system = monoclinic; electronic total energy = -5.886 eV/atom; symmetry = No. 12
1.0
5.1920 -0.0061 0.0056
-2.1195 4.7397 0.0056
0.8007 1.2336 2.5980
Ru Te Cu
2 1 1
direct
0.5000 0.5000 0.0000
0.0000 0.0000 0.0000
0.5000 0.0000 0.5000
0.0000 0.5000 0.5000

***

What energy relative to the elements, uncorrected values result from the calculations? In sequence: 0.709; 1.245; 0.434; 0.380; 0.612; 0.199; 0.338; 0.133; 0.235; 0.614; 0.314; 0.081; 0.306; 0.480; 0.561 eV per atom.
What DOS at the Fermi energy values result from the calculations? In sequence: 1.32; 1.55; 0.48; 1.28; 0.99; 0.46; 0.93; 0.72; 0.57; 0.67; 1.01; 0.75; 0.73; 1.25; 1.23 states/eV per atom.